Tc2HgPb: relaxed, PBE-GGA.

a = 3.0953 Å, b = 3.0953 Å, c = 26.8615 Å
α = 90.00°, β = 90.00°, γ = 120.00°
Space group R-3m (No. 166, hexagonal axes)
Unique sites:
Tc: 0.0000 0.0000 0.2493
Hg: 0.0000 0.0000 0.0000
Pb: 0.0000 0.0000 0.5000

The energy above the lowest structure with this stoichiometry comes out at 0.533 eV/atom. The value obtained for the magnetization is 0.00 μB per atom. The value obtained for the total energy is -64.54 eV for the cell shown.

---

Ho2Cu5Pt5: relaxed, PBE-GGA.

a = 4.375 Å, b = 5.050 Å, c = 9.018 Å
α = 90.00°, β = 90.00°, γ = 90.00°
Space group Pmmm (No. 47)
Unique sites:
Ho: 0.000 0.000 0.000
Ho: 0.000 0.500 0.500
Cu: 0.500 0.000 0.500
Cu: 0.500 0.250 0.257
Pt: 0.000 0.000 0.335
Pt: 0.000 0.500 0.175
Pt: 0.500 0.500 0.000

The value obtained for the magnetization is 0.00 μB per atom. The value obtained for the total energy is -67.13 eV for the cell shown.

---

Y2PuHg: relaxed, PBE-GGA.

a = 3.4773 Å, b = 3.4773 Å, c = 34.4948 Å
α = 90.00°, β = 90.00°, γ = 120.00°
Space group R-3m (No. 166, hexagonal axes)
Unique sites:
Y: 0.0000 0.0000 0.0956
Pu: 0.0000 0.0000 0.0000
Hg: 0.0000 0.0000 0.5000

The energy above the lowest structure with this stoichiometry comes out at 0.286 eV/atom. The value obtained for the magnetization is 1.66 μB per atom. The value obtained for the total energy is -80.95 eV for the cell shown.

---

- The highest magnetization belongs to which entry?
  Y2PuHg

---

- What is the magnetization in the third record?
  1.66 μB per atom

---

- Among the records above, which one has the highest magnetization?
  Y2PuHg